1.
# CsK2RbH, relaxed, DFT PBE
# distance to the lowest polymorph of the same formula = 0 meV/atom
data_CsK2RbH
_space_group_name_H-M_alt 'P 4/m m m'
_space_group_IT_number 123
_space_group_name_Hall '-P 4 2'
_cell_length_a 6.534
_cell_length_b 6.534
_cell_length_c 6.703
_cell_angle_alpha 90.00
_cell_angle_beta 90.00
_cell_angle_gamma 90.00
loop_
_atom_site_label
_atom_site_fract_x
_atom_site_fract_y
_atom_site_fract_z
Cs1 0.000 0.000 0.000
K1 0.000 0.500 0.500
Rb1 0.500 0.500 0.000
H1 0.000 0.000 0.500

2.
# TiCd2BiN, relaxed, DFT PBE
# final energy = -14.9 eV/cell
data_TiCd2BiN
_space_group_name_H-M_alt 'P 4/m m m'
_space_group_IT_number 123
_space_group_name_Hall '-P 4 2'
_cell_length_a 5.604
_cell_length_b 5.604
_cell_length_c 5.292
_cell_angle_alpha 90.00
_cell_angle_beta 90.00
_cell_angle_gamma 90.00
loop_
_atom_site_label
_atom_site_fract_x
_atom_site_fract_y
_atom_site_fract_z
Ti1 0.000 0.000 0.000
Cd1 0.000 0.500 0.000
Bi1 0.000 0.000 0.500
N1 0.500 0.500 0.500

3.
# K2UAgCl8, relaxed, DFT PBE
# final energy = -49.8 eV/cell
data_K2UAgCl8
_space_group_name_H-M_alt 'P -1'
_space_group_IT_number 2
_cell_length_a 6.547
_cell_length_b 6.710
_cell_length_c 10.070
_cell_angle_alpha 89.87
_cell_angle_beta 89.93
_cell_angle_gamma 82.42
loop_
_space_group_symop_operation_xyz
'x,y,z'
'-x,-y,-z'
loop_
_atom_site_label
_atom_site_fract_x
_atom_site_fract_y
_atom_site_fract_z
K1 0.002 0.000 0.226
U1 0.500 0.500 0.500
Ag1 0.500 0.500 0.000
Cl1 0.244 0.786 0.999
Cl2 0.250 0.827 0.501
Cl3 0.289 0.362 0.321
Cl4 0.290 0.360 0.680